MnH2O2: relaxed, PBE with a Hubbard U.

The structure in CIF format:
```
data_MnH2O2
_space_group_name_H-M_alt 'P 1'
_space_group_IT_number 1
_cell_length_a 4.861
_cell_length_b 4.861
_cell_length_c 4.861
_cell_angle_alpha 147.39
_cell_angle_beta 147.39
_cell_angle_gamma 46.79
loop_
_space_group_symop_operation_xyz
'x,y,z'
loop_
_atom_site_label
_atom_site_fract_x
_atom_site_fract_y
_atom_site_fract_z
Mn1 0.000 0.000 0.000
H1 0.250 0.750 0.500
H2 0.750 0.250 0.500
O1 0.350 0.350 0.000
O2 0.650 0.650 0.000
```

Properties
volume: 6.65 Å³/atom
SG: No. 139
DFT total energy: -25.779 eV/cell